[1]
First-principles (PBE-GGA) data for an optimized crystal structure of TcTePb2, as listed in Alexandria.

Calculated values
As for the uncorrected formation energy: 1.92 eV/f.u.

Cell lengths 3.257, 3.257, 34.107 Å; angles 90.00, 90.00, 120.00 degrees
Positions (direct):
Tc (0.000, 0.000, 0.000)
Tc (0.333, 0.667, 0.667)
Tc (0.667, 0.333, 0.333)
Te (0.000, 0.000, 0.500)
Te (0.333, 0.667, 0.167)
Te (0.667, 0.333, 0.833)
Pb (0.000, 0.000, 0.268)
Pb (0.000, 0.000, 0.732)
Pb (0.333, 0.667, 0.399)
Pb (0.333, 0.667, 0.935)
Pb (0.667, 0.333, 0.065)
Pb (0.667, 0.333, 0.601)

***

[2]
First-principles (PBE-GGA) data for an optimized crystal structure of MgCo2Rh, as listed in Alexandria.

Calculated values
Its energy of formation from the pure elements is 28.7 meV/atom.

Cell lengths 2.702, 4.020, 5.104 Å; angles 90.00, 105.28, 90.00 degrees
Positions (direct):
Mg (0.000, 0.000, 0.000)
Co (0.263, 0.000, 0.520)
Co (0.375, 0.500, 0.751)
Rh (0.647, 0.500, 0.290)

***

[3]
First-principles (PBE-GGA) data for an optimized crystal structure of Mg2NbN3, as listed in Alexandria.

Calculated values
As for the uncorrected formation energy: -5.80 eV/f.u. The calculation puts the energy above the lowest structure with this stoichiometry at 31.3 meV/atom.

Cell lengths 5.919, 5.919, 5.300 Å; angles 90.00, 90.00, 61.01 degrees
Positions (direct):
Mg (0.008, 0.330, 0.000)
Mg (0.330, 0.008, 0.500)
Mg (0.670, 0.992, 0.000)
Mg (0.992, 0.670, 0.500)
Nb (0.332, 0.668, 0.000)
Nb (0.668, 0.332, 0.500)
N (0.019, 0.668, 0.900)
N (0.332, 0.981, 0.900)
N (0.347, 0.653, 0.379)
N (0.653, 0.347, 0.879)
N (0.668, 0.019, 0.400)
N (0.981, 0.332, 0.400)

***

Taking the records one at a time from the top gives total moment values of 0.00; 3.48; 0.00 μB/f.u..